# 1
VASP calculation (SCAN) on a crystal of MgP2W relaxed with PBEsol.

a = 2.729 Å, b = 2.729 Å, c = 9.294 Å
α = 90.00°, β = 90.00°, γ = 106.05°
Fractional coordinates of all 4 atoms:
P (0.000, 0.000, 0.033)
P (0.500, 0.500, 0.705)
W (0.000, 0.000, 0.508)
Mg (0.500, 0.500, 0.255)

## Properties
E_tot = -23.54 eV per atom
Space group = Cmm2 (35)
Total magnetization = 0.00 μB/f.u.

# 2
VASP calculation (SCAN) on a crystal of Mg2PW2 relaxed with PBEsol.

a = 3.368 Å, b = 3.368 Å, c = 7.669 Å
α = 102.68°, β = 102.68°, γ = 90.00°
Fractional coordinates of all 5 atoms:
W (0.416, 0.416, 0.831)
W (0.584, 0.584, 0.169)
P (0.000, 0.000, 0.000)
Mg (0.750, 0.250, 0.500)
Mg (0.250, 0.750, 0.500)

## Properties
E_tot = -30.94 eV per atom
Space group = I4/mmm (139)
Total magnetization = 0.00 μB/f.u.